(1)
The following is a DFT calculation (GGA-PBE) of CsMgCdCl5 after structural relaxation.

Values from the calculation:
Density of states at the Fermi level, states/eV per atom: 0.000
E, eV/atom: -3.166
E_form (uncorrected), meV per atom: -1592

```
data_CsMgCdCl5
_symmetry_space_group_name_H-M 'P 1'
_symmetry_Int_Tables_number 1
_cell_length_a 7.649
_cell_length_b 7.649
_cell_length_c 9.517
_cell_angle_alpha 102.65
_cell_angle_beta 102.65
_cell_angle_gamma 106.58
loop_
_symmetry_equiv_pos_as_xyz
'x,y,z'
loop_
_atom_site_label
_atom_site_type_symbol
_atom_site_fract_x
_atom_site_fract_y
_atom_site_fract_z
Cl1 Cl 0.912 0.292 0.089
Cl2 Cl 0.708 0.088 0.411
Cl3 Cl 0.054 0.946 0.250
Cl4 Cl 0.779 0.631 0.434
Cl5 Cl 0.946 0.054 0.750
Cl6 Cl 0.631 0.779 0.934
Cl7 Cl 0.221 0.369 0.566
Cl8 Cl 0.088 0.708 0.911
Cl9 Cl 0.369 0.221 0.066
Cl10 Cl 0.292 0.912 0.589
Cs1 Cs 0.340 0.660 0.250
Cs2 Cs 0.660 0.340 0.750
Mg1 Mg 0.000 0.000 0.000
Mg2 Mg 0.000 0.000 0.500
Cd1 Cd 0.695 0.305 0.250
Cd2 Cd 0.305 0.695 0.750
```



(2)
The following is a DFT calculation (GGA-PBE) of Cs3MgCd2Cl9 after structural relaxation.

Values from the calculation:
Density of states at the Fermi level, states/eV per atom: 0.000
E, eV/atom: -3.130
E_form (uncorrected), meV per atom: -1623

```
data_Cs3MgCd2Cl9
_symmetry_space_group_name_H-M 'P 1'
_symmetry_Int_Tables_number 1
_cell_length_a 7.433
_cell_length_b 7.433
_cell_length_c 9.120
_cell_angle_alpha 90.00
_cell_angle_beta 90.00
_cell_angle_gamma 120.00
loop_
_symmetry_equiv_pos_as_xyz
'x,y,z'
loop_
_atom_site_label
_atom_site_type_symbol
_atom_site_fract_x
_atom_site_fract_y
_atom_site_fract_z
Cl1 Cl 0.838 0.162 0.661
Cl2 Cl 0.324 0.162 0.661
Cl3 Cl 0.676 0.838 0.339
Cl4 Cl 0.000 0.500 0.000
Cl5 Cl 0.500 0.500 0.000
Cl6 Cl 0.162 0.838 0.339
Cl7 Cl 0.500 0.000 0.000
Cl8 Cl 0.162 0.324 0.339
Cl9 Cl 0.838 0.676 0.661
Cs1 Cs 0.333 0.667 0.668
Cs2 Cs 0.000 0.000 0.000
Cs3 Cs 0.667 0.333 0.332
Mg1 Mg 0.000 0.000 0.500
Cd1 Cd 0.333 0.667 0.173
Cd2 Cd 0.667 0.333 0.827
```



(3)
The following is a DFT calculation (GGA-PBE) of Cs2MgCdCl6 after structural relaxation.

Values from the calculation:
Density of states at the Fermi level, states/eV per atom: 0.000
E, eV/atom: -3.244
E_form (uncorrected), meV per atom: -1715

```
data_Cs2MgCdCl6
_symmetry_space_group_name_H-M 'P 1'
_symmetry_Int_Tables_number 1
_cell_length_a 7.460
_cell_length_b 7.460
_cell_length_c 13.115
_cell_angle_alpha 73.48
_cell_angle_beta 73.48
_cell_angle_gamma 60.00
loop_
_symmetry_equiv_pos_as_xyz
'x,y,z'
loop_
_atom_site_label
_atom_site_type_symbol
_atom_site_fract_x
_atom_site_fract_y
_atom_site_fract_z
Cs1 Cs 0.710 0.710 0.869
Cs2 Cs 0.290 0.290 0.131
Cs3 Cs 0.874 0.874 0.378
Cs4 Cs 0.126 0.126 0.622
Cl1 Cl 0.385 0.385 0.376
Cl2 Cl 0.282 0.800 0.119
Cl3 Cl 0.200 0.200 0.881
Cl4 Cl 0.615 0.147 0.624
Cl5 Cl 0.615 0.615 0.624
Cl6 Cl 0.200 0.718 0.881
Cl7 Cl 0.718 0.200 0.881
Cl8 Cl 0.147 0.615 0.624
Cl9 Cl 0.385 0.853 0.376
Cl10 Cl 0.800 0.800 0.119
Cl11 Cl 0.800 0.282 0.119
Cl12 Cl 0.853 0.385 0.376
Cd1 Cd 0.589 0.589 0.234
Cd2 Cd 0.411 0.411 0.766
Mg1 Mg 0.500 0.500 0.500
Mg2 Mg 0.000 0.000 0.000
```



(4)
The following is a DFT calculation (GGA-PBE) of Cs2MgCdCl6 after structural relaxation.

Values from the calculation:
Density of states at the Fermi level, states/eV per atom: 0.000
E, eV/atom: -3.227
E_form (uncorrected), meV per atom: -1697

```
data_Cs2MgCdCl6
_symmetry_space_group_name_H-M 'P 1'
_symmetry_Int_Tables_number 1
_cell_length_a 7.393
_cell_length_b 7.393
_cell_length_c 7.393
_cell_angle_alpha 60.00
_cell_angle_beta 60.00
_cell_angle_gamma 90.00
loop_
_symmetry_equiv_pos_as_xyz
'x,y,z'
loop_
_atom_site_label
_atom_site_type_symbol
_atom_site_fract_x
_atom_site_fract_y
_atom_site_fract_z
Cl1 Cl 0.744 0.744 0.000
Cl2 Cl 0.256 0.256 0.000
Cl3 Cl 0.744 0.256 0.000
Cl4 Cl 0.256 0.256 0.488
Cl5 Cl 0.744 0.744 0.512
Cl6 Cl 0.256 0.744 0.000
Cs1 Cs 0.750 0.250 0.500
Cs2 Cs 0.250 0.750 0.500
Cd1 Cd 0.000 0.000 0.000
Mg1 Mg 0.500 0.500 0.000
```



(5)
The following is a DFT calculation (GGA-PBE) of CsMn2CdCl8 after structural relaxation.

Values from the calculation:
Density of states at the Fermi level, states/eV per atom: 0.947
E, eV/atom: -4.079
E_form (uncorrected), meV per atom: -1172

```
data_CsMn2CdCl8
_symmetry_space_group_name_H-M 'P 1'
_symmetry_Int_Tables_number 1
_cell_length_a 6.649
_cell_length_b 6.649
_cell_length_c 9.641
_cell_angle_alpha 90.00
_cell_angle_beta 90.00
_cell_angle_gamma 120.00
loop_
_symmetry_equiv_pos_as_xyz
'x,y,z'
loop_
_atom_site_label
_atom_site_type_symbol
_atom_site_fract_x
_atom_site_fract_y
_atom_site_fract_z
Cl1 Cl 0.677 0.681 0.666
Cl2 Cl 0.319 0.996 0.666
Cl3 Cl 0.667 0.333 0.043
Cl4 Cl 0.333 0.667 0.957
Cl5 Cl 0.004 0.323 0.666
Cl6 Cl 0.681 0.004 0.334
Cl7 Cl 0.996 0.677 0.334
Cl8 Cl 0.323 0.319 0.334
Cs1 Cs 0.000 0.000 0.000
Mn1 Mn 0.667 0.333 0.274
Mn2 Mn 0.333 0.667 0.726
Cd1 Cd 0.000 0.000 0.500
```



(6)
The following is a DFT calculation (GGA-PBE) of CsMnCdCl5 after structural relaxation.

Values from the calculation:
Density of states at the Fermi level, states/eV per atom: 0.000
E, eV/atom: -3.848
E_form (uncorrected), meV per atom: -1326

```
data_CsMnCdCl5
_symmetry_space_group_name_H-M 'P 1'
_symmetry_Int_Tables_number 1
_cell_length_a 7.746
_cell_length_b 7.746
_cell_length_c 9.598
_cell_angle_alpha 102.95
_cell_angle_beta 102.95
_cell_angle_gamma 107.32
loop_
_symmetry_equiv_pos_as_xyz
'x,y,z'
loop_
_atom_site_label
_atom_site_type_symbol
_atom_site_fract_x
_atom_site_fract_y
_atom_site_fract_z
Cl1 Cl 0.901 0.299 0.105
Cl2 Cl 0.930 0.070 0.750
Cl3 Cl 0.391 0.230 0.073
Cl4 Cl 0.299 0.901 0.605
Cl5 Cl 0.230 0.391 0.573
Cl6 Cl 0.099 0.701 0.895
Cl7 Cl 0.770 0.609 0.427
Cl8 Cl 0.701 0.099 0.395
Cl9 Cl 0.070 0.930 0.250
Cl10 Cl 0.609 0.770 0.927
Cs1 Cs 0.654 0.346 0.750
Cs2 Cs 0.346 0.654 0.250
Mn1 Mn 0.308 0.692 0.750
Mn2 Mn 0.692 0.308 0.250
Cd1 Cd 0.000 0.000 0.000
Cd2 Cd 0.000 0.000 0.500
```



(7)
The following is a DFT calculation (GGA-PBE) of Cs3MnCd2Cl9 after structural relaxation.

Values from the calculation:
E, eV/atom: -3.490
E_form (uncorrected), meV per atom: -1478

```
data_Cs3MnCd2Cl9
_symmetry_space_group_name_H-M 'P 1'
_symmetry_Int_Tables_number 1
_cell_length_a 7.442
_cell_length_b 7.442
_cell_length_c 9.118
_cell_angle_alpha 90.00
_cell_angle_beta 90.00
_cell_angle_gamma 120.00
loop_
_symmetry_equiv_pos_as_xyz
'x,y,z'
loop_
_atom_site_label
_atom_site_type_symbol
_atom_site_fract_x
_atom_site_fract_y
_atom_site_fract_z
Mn1 Mn 0.000 0.000 0.500
Cs1 Cs 0.000 0.000 0.000
Cs2 Cs 0.333 0.667 0.668
Cs3 Cs 0.667 0.333 0.332
Cd1 Cd 0.333 0.667 0.173
Cd2 Cd 0.667 0.333 0.827
Cl1 Cl 0.324 0.162 0.661
Cl2 Cl 0.838 0.162 0.661
Cl3 Cl 0.500 0.500 0.000
Cl4 Cl 0.000 0.500 0.000
Cl5 Cl 0.162 0.838 0.339
Cl6 Cl 0.676 0.838 0.339
Cl7 Cl 0.162 0.324 0.339
Cl8 Cl 0.838 0.676 0.661
Cl9 Cl 0.500 0.000 0.000
```



(8)
The following is a DFT calculation (GGA-PBE) of Cs2MnCdCl6 after structural relaxation.

Values from the calculation:
Density of states at the Fermi level, states/eV per atom: 0.000
E, eV/atom: -3.766
E_form (uncorrected), meV per atom: -1478

```
data_Cs2MnCdCl6
_symmetry_space_group_name_H-M 'P 1'
_symmetry_Int_Tables_number 1
_cell_length_a 7.401
_cell_length_b 7.401
_cell_length_c 7.400
_cell_angle_alpha 60.00
_cell_angle_beta 60.00
_cell_angle_gamma 90.00
loop_
_symmetry_equiv_pos_as_xyz
'x,y,z'
loop_
_atom_site_label
_atom_site_type_symbol
_atom_site_fract_x
_atom_site_fract_y
_atom_site_fract_z
Cd1 Cd 0.000 0.000 0.000
Cl1 Cl 0.744 0.744 0.511
Cl2 Cl 0.256 0.256 0.000
Cl3 Cl 0.744 0.256 0.000
Cl4 Cl 0.256 0.744 0.000
Cl5 Cl 0.256 0.256 0.489
Cl6 Cl 0.744 0.744 0.000
Cs1 Cs 0.750 0.250 0.500
Cs2 Cs 0.250 0.750 0.500
Mn1 Mn 0.500 0.500 0.000
```



(9)
The following is a DFT calculation (GGA-PBE) of Cs2CdNCl6 after structural relaxation.

Values from the calculation:
Density of states at the Fermi level, states/eV per atom: 0.000
E, eV/atom: -2.910
E_form (uncorrected), meV per atom: -707

```
data_Cs2CdNCl6
_symmetry_space_group_name_H-M 'P 1'
_symmetry_Int_Tables_number 1
_cell_length_a 7.128
_cell_length_b 7.128
_cell_length_c 7.706
_cell_angle_alpha 62.45
_cell_angle_beta 62.45
_cell_angle_gamma 90.00
loop_
_symmetry_equiv_pos_as_xyz
'x,y,z'
loop_
_atom_site_label
_atom_site_type_symbol
_atom_site_fract_x
_atom_site_fract_y
_atom_site_fract_z
Cs1 Cs 0.250 0.750 0.500
Cs2 Cs 0.750 0.250 0.500
Cl1 Cl 0.718 0.718 0.000
Cl2 Cl 0.209 0.209 0.583
Cl3 Cl 0.791 0.791 0.417
Cl4 Cl 0.282 0.718 0.000
Cl5 Cl 0.282 0.282 0.000
Cl6 Cl 0.718 0.282 0.000
Cd1 Cd 0.000 0.000 0.000
N1 N 0.500 0.500 0.000
```



Q: The lowest E_form (uncorrected) belongs to which entry?
A: number 3



Q: Which of these has the lowest E?
A: CsMn2CdCl8